## Li2YMoO4 (PBE with a Hubbard U)

Data for a relaxed Li2YMoO4 crystal.

abc: 5.7607 5.7607 5.7607
angles: 134.90 134.90 65.68
Atoms (fractional coordinates):
Li (0.0000, 0.0000, 0.0000)
Li (0.7500, 0.2500, 0.5000)
Y (0.2500, 0.7500, 0.5000)
Mo (0.5000, 0.5000, 0.0000)
O (0.0095, 0.5095, 0.5000)
O (0.2747, 0.2747, 0.0000)
O (0.4905, 0.9905, 0.5000)
O (0.7253, 0.7253, 0.0000)

Summary:
symmetry: I-4m2, No. 119
E_tot: -6.972 eV/atom
DOS(E_F): 0.000 states/eV/atom
magnetic moment: 3.000 Bohr magnetons per cell